# 1
This record from the Alexandria database describes a relaxed NdYHoIn crystal. The functional is GGA-PBE.

The structure in extended XYZ format:
```
4
Lattice="-2.483 2.162 3.613 2.023 -3.035 3.207 3.727 3.180 0.659" Properties=species:S:1:pos:R:3 pbc="T T T"
Y 0.000 0.000 0.000
In -0.230 -0.436 3.410
Ho 0.622 2.671 2.136
Nd 2.875 0.073 1.933
```

The crystal system is orthorhombic. The formation energy is -0.27 eV per atom. For the energy above the most stable polymorph in this dataset, the calculation gives 0 meV/atom. The energy is -19.62 eV/cell.

=====

# 2
This record from the Alexandria database describes a relaxed Nd2Y2Ho2In crystal. The functional is GGA-PBE.

The structure in extended XYZ format:
```
7
Lattice="3.527 0.000 0.000 -1.763 5.789 -1.019 0.000 -2.560 11.419" Properties=species:S:1:pos:R:3 pbc="T T T"
Ho 0.000 1.950 3.700
Ho 1.763 1.279 6.700
Nd 1.763 -1.557 8.552
Nd 0.000 4.786 1.848
Y 0.000 1.443 9.786
Y 1.763 1.786 0.615
In 0.000 -1.280 5.709
```

The crystal system is monoclinic. The formation energy is -0.03 eV per atom. The energy is -34.55 eV/cell.

=====

# 3
This record from the Alexandria database describes a relaxed NdYHoIn crystal. The functional is GGA-PBE.

The structure in extended XYZ format:
```
4
Lattice="5.508 0.000 0.000 2.754 4.770 0.000 2.754 1.590 4.497" Properties=species:S:1:pos:R:3 pbc="T T T"
Ho 0.000 0.000 0.000
Y 8.261 4.770 3.373
In 5.508 3.180 2.248
Nd 2.754 1.590 1.124
```

The crystal system is cubic. The formation energy is -0.15 eV per atom. For the energy above the most stable polymorph in this dataset, the calculation gives 117 meV/atom. The energy is -19.15 eV/cell.

=====

# 4
This record from the Alexandria database describes a relaxed Nd2Y3Ho6In crystal. The functional is GGA-PBE.

The structure in extended XYZ format:
```
12
Lattice="-0.762 -3.708 4.785 4.866 -0.651 -3.624 4.560 8.811 6.254" Properties=species:S:1:pos:R:3 pbc="T T T"
Nd 1.116 -2.688 1.979
Nd 2.987 -1.672 -0.817
Ho 3.066 1.619 0.466
Ho 5.598 2.832 6.950
Ho 1.224 0.619 3.218
Ho 4.239 -1.094 2.439
Ho 7.440 3.832 4.198
Ho 4.425 5.545 4.977
Y 2.455 1.206 6.512
Y 6.208 3.245 0.904
Y 4.332 2.225 3.708
In 0.000 0.000 0.000
```

The crystal system is monoclinic. The formation energy is -0.05 eV per atom. The energy is -59.75 eV/cell.

=====

# 5
This record from the Alexandria database describes a relaxed NdHoZn2In2 crystal. The functional is GGA-PBE.

The structure in extended XYZ format:
```
6
Lattice="-2.822 1.957 3.208 -1.843 -2.269 -3.680 0.030 -6.318 3.880" Properties=species:S:1:pos:R:3 pbc="T T T"
Ho 0.015 -3.159 1.940
Nd 0.000 0.000 0.000
Zn -2.161 -2.616 -0.306
Zn -2.475 -4.014 3.714
In -2.148 -5.517 1.476
In -2.488 -1.113 1.932
```

The crystal system is trigonal. The formation energy is -0.45 eV per atom. The energy is -20.04 eV/cell.

=====

# 6
This record from the Alexandria database describes a relaxed Ho11In9Ni4 crystal. The functional is GGA-PBE.

The structure in extended XYZ format:
```
24
Lattice="3.637 0.000 0.000 0.000 11.961 -5.047 0.000 0.059 12.982" Properties=species:S:1:pos:R:3 pbc="T T T"
In 1.818 11.093 5.478
In 1.818 6.010 3.967
In 1.818 1.916 7.410
In 1.818 9.396 8.047
In 1.818 2.624 -0.112
In 1.818 10.104 0.525
In 1.818 7.567 -1.150
In 1.818 4.453 9.085
In 1.818 0.928 2.457
Ni 1.818 5.394 0.950
Ni 1.818 6.626 6.985
Ni 1.818 9.027 3.348
Ni 1.818 2.993 4.587
Ho 0.000 0.000 0.000
Ho 0.000 0.990 5.006
Ho 0.000 7.506 1.702
Ho 0.000 4.993 -1.057
Ho 0.000 8.264 5.456
Ho 0.000 4.515 6.233
Ho 0.000 1.969 10.090
Ho 0.000 3.756 2.479
Ho 0.000 11.030 2.928
Ho 0.000 10.052 -2.155
Ho 0.000 7.027 8.992
```

The crystal system is orthorhombic. The formation energy is -0.53 eV per atom. The energy is -110.73 eV/cell.